The following is a DFT calculation (GGA-PBE) of a geometry-optimized TiRuPt structure.

abc: 4.3828 4.3828 5.4327
angles: 90.00 90.00 120.00
Space group P6_3/mmc (No. 194)
Inequivalent atoms, fractional coordinates:
1 Ti 0.3333 0.6667 0.2500 (multiplicity 2)
2 Ru 0.0000 0.0000 0.0000 (multiplicity 2)
3 Pt 0.3333 0.6667 0.7500 (multiplicity 2)

Results
* excess energy over the best structure of this formula in the dataset: 0.0435 eV per atom
* ΔE_f: -185 kJ/mol of formula units
* total moment: 0.0 μB per formula unit

=====

The following is a DFT calculation (GGA-PBE) of a geometry-optimized TiRuPt structure.

abc: 4.803 8.047 5.304
angles: 90.00 115.92 90.00
Space group Cc (No. 9)
Inequivalent atoms, fractional coordinates:
1 Ti 0.000 0.131 0.000 (multiplicity 4)
2 Ru 0.474 0.038 0.381 (multiplicity 4)
3 Pt 0.049 0.205 0.547 (multiplicity 4)

Results
* excess energy over the best structure of this formula in the dataset: 0.1388 eV per atom
* ΔE_f: -158 kJ/mol of formula units
* total moment: 0.0 μB per formula unit

=====

The following is a DFT calculation (GGA-PBE) of a geometry-optimized TiRuPt structure.

abc: 8.206 4.911 5.369
angles: 90.00 123.40 90.00
Space group C2 (No. 5)
Inequivalent atoms, fractional coordinates:
1 Ti 0.000 0.000 0.000 (multiplicity 2)
2 Ti 0.000 0.221 0.500 (multiplicity 2)
3 Ru 0.177 0.702 0.509 (multiplicity 4)
4 Pt 0.171 0.520 0.004 (multiplicity 4)

Results
* excess energy over the best structure of this formula in the dataset: 0.1322 eV per atom
* ΔE_f: -160 kJ/mol of formula units
* total moment: 0.0 μB per formula unit

=====

The following is a DFT calculation (GGA-PBE) of a geometry-optimized TiRuPt structure.

abc: 7.604 4.700 5.246
angles: 90.00 100.58 90.00
Space group C2/m (No. 12)
Inequivalent atoms, fractional coordinates:
1 Ti 0.164 0.000 0.379 (multiplicity 4)
2 Ru 0.172 0.000 0.885 (multiplicity 4)
3 Pt 0.000 0.500 0.248 (multiplicity 4)

Results
* excess energy over the best structure of this formula in the dataset: 0.3072 eV per atom
* ΔE_f: -109 kJ/mol of formula units
* total moment: 0.0 μB per formula unit

=====

The following is a DFT calculation (GGA-PBE) of a geometry-optimized Ti3RuPt structure.

abc: 4.705 4.705 4.705
angles: 90.00 90.00 90.00
Space group Pm-3m (No. 221)
Inequivalent atoms, fractional coordinates:
1 Ti 0.000 0.000 0.500 (multiplicity 3)
2 Ru 0.500 0.500 0.500 (multiplicity 1)
3 Pt 0.000 0.000 0.000 (multiplicity 1)

Results
* excess energy over the best structure of this formula in the dataset: 0.3666 eV per atom
* ΔE_f: 332 kJ/mol of formula units
* total moment: 0.0 μB per formula unit

=====

The following is a DFT calculation (GGA-PBE) of a geometry-optimized TiRuPt structure.

abc: 3.755 3.983 11.995
angles: 90.00 90.00 90.00
Space group Amm2 (No. 38)
Inequivalent atoms, fractional coordinates:
1 Ti 0.000 0.000 0.000 (multiplicity 2)
2 Ti 0.000 0.000 0.310 (multiplicity 2)
3 Ru 0.500 0.000 0.155 (multiplicity 2)
4 Ru 0.500 0.000 0.490 (multiplicity 2)
5 Pt 0.000 0.000 0.655 (multiplicity 2)
6 Pt 0.500 0.000 0.824 (multiplicity 2)

Results
* excess energy over the best structure of this formula in the dataset: 0.0071 eV per atom
* ΔE_f: -196 kJ/mol of formula units
* total moment: 0.0 μB per formula unit

=====

The following is a DFT calculation (GGA-PBE) of a geometry-optimized TiRu2Pt structure.

abc: 6.206 6.206 6.206
angles: 90.00 90.00 90.00
Space group Fm-3m (No. 225)
Inequivalent atoms, fractional coordinates:
1 Ti 0.000 0.000 0.000 (multiplicity 4)
2 Ru 0.250 0.250 0.250 (multiplicity 8)
3 Pt 0.000 0.000 0.500 (multiplicity 4)

Results
* ΔE_f: -55 kJ/mol of formula units
* total moment: 0.0 μB per formula unit

=====

The following is a DFT calculation (GGA-PBE) of a geometry-optimized TiRuPt structure.

abc: 8.736 3.922 5.468
angles: 90.00 106.68 90.00
Space group Cm (No. 8)
Inequivalent atoms, fractional coordinates:
1 Ti 0.000 0.000 0.000 (multiplicity 2)
2 Ti 0.201 0.500 0.385 (multiplicity 2)
3 Ru 0.026 0.000 0.520 (multiplicity 2)
4 Ru 0.348 0.000 0.684 (multiplicity 2)
5 Pt 0.177 0.500 0.867 (multiplicity 2)
6 Pt 0.356 0.000 0.191 (multiplicity 2)

Results
* excess energy over the best structure of this formula in the dataset: 0.0000 eV per atom
* ΔE_f: -198 kJ/mol of formula units
* total moment: 0.0 μB per formula unit

=====

The following is a DFT calculation (GGA-PBE) of a geometry-optimized TiRu2Pt structure.

abc: 3.783 3.783 18.027
angles: 90.00 90.00 90.00
Space group I-42d (No. 122)
Inequivalent atoms, fractional coordinates:
1 Ti 0.000 0.000 0.000 (multiplicity 4)
2 Ru 0.220 0.250 0.125 (multiplicity 8)
3 Pt 0.000 0.000 0.500 (multiplicity 4)

Results
* ΔE_f: 33 kJ/mol of formula units
* total moment: 0.0 μB per formula unit

=====

The following is a DFT calculation (GGA-PBE) of a geometry-optimized Ti3RuPt structure.

abc: 4.609 4.609 4.609
angles: 90.00 90.00 90.00
Space group Pm-3m (No. 221)
Inequivalent atoms, fractional coordinates:
1 Ti 0.000 0.000 0.500 (multiplicity 3)
2 Ru 0.000 0.000 0.000 (multiplicity 1)
3 Pt 0.500 0.500 0.500 (multiplicity 1)

Results
* excess energy over the best structure of this formula in the dataset: 0.0000 eV per atom
* ΔE_f: 155 kJ/mol of formula units
* total moment: 1.3 μB per formula unit

=====

The following is a DFT calculation (GGA-PBE) of a geometry-optimized TiRuPt structure.

abc: 8.681 3.990 5.365
angles: 90.00 104.42 90.00
Space group C2/m (No. 12)
Inequivalent atoms, fractional coordinates:
1 Ti 0.154 0.000 0.318 (multiplicity 4)
2 Ru 0.178 0.000 0.825 (multiplicity 4)
3 Pt 0.000 0.500 0.000 (multiplicity 2)
4 Pt 0.000 0.500 0.500 (multiplicity 2)

Results
* excess energy over the best structure of this formula in the dataset: 0.0760 eV per atom
* ΔE_f: -176 kJ/mol of formula units
* total moment: 0.0 μB per formula unit

=====

The following is a DFT calculation (GGA-PBE) of a geometry-optimized TiRu3Pt structure.

abc: 4.446 4.446 4.446
angles: 90.00 90.00 90.00
Space group Pm-3m (No. 221)
Inequivalent atoms, fractional coordinates:
1 Ti 0.000 0.000 0.000 (multiplicity 1)
2 Ru 0.000 0.000 0.500 (multiplicity 3)
3 Pt 0.500 0.500 0.500 (multiplicity 1)

Results
* ΔE_f: 576 kJ/mol of formula units
* total moment: 2.3 μB per formula unit